#P
# LaCuSb2Te PBE-GGA optimized geometry
data_LaCuSb2Te
_chemical_formula_sum 'La1 Cu1 Sb2 Te1'
_cell_length_a 6.095
_cell_length_b 6.095
_cell_length_c 6.051
_cell_angle_alpha 90.00
_cell_angle_beta 90.00
_cell_angle_gamma 90.00
_space_group_name_H-M_alt 'P 4/m m m'
_space_group_IT_number 123
_space_group_name_Hall '-P 4 2'
loop_
_atom_site_label
_atom_site_fract_x
_atom_site_fract_y
_atom_site_fract_z
La1 0.000 0.000 0.000
Cu1 0.500 0.500 0.500
Sb1 0.000 0.500 0.000
Te1 0.000 0.000 0.500
# Crystal system = tetragonal
# Total magnetic moment = 0.0 μB/cell
# N(E_F) = 1.415 states/eV per atom

#Q
# LaCuSb2Te PBE-GGA optimized geometry
data_LaCuSb2Te
_chemical_formula_sum 'La1 Cu1 Sb2 Te1'
_cell_length_a 5.107
_cell_length_b 5.107
_cell_length_c 5.340
_cell_angle_alpha 90.00
_cell_angle_beta 90.00
_cell_angle_gamma 90.00
_space_group_name_H-M_alt 'P 4/m m m'
_space_group_IT_number 123
_space_group_name_Hall '-P 4 2'
loop_
_atom_site_label
_atom_site_fract_x
_atom_site_fract_y
_atom_site_fract_z
La1 0.000 0.000 0.000
Cu1 0.500 0.500 0.500
Sb1 0.000 0.500 0.500
Te1 0.500 0.500 0.000
# Crystal system = tetragonal
# Total magnetic moment = 0.0 μB/cell
# N(E_F) = 0.625 states/eV per atom

#Q is the most stable structure shown above.